# 1
## Ba2LaCl (SCAN)

Data for a crystal of Ba2LaCl relaxed with PBEsol.

CIF file:
```
data_Ba2LaCl
_chemical_formula_sum 'Ba2 La1 Cl1'
_symmetry_space_group_name_H-M 'P 1'
_symmetry_Int_Tables_number 1
_symmetry_space_group_name_Hall 'P 1'
_cell_length_a 3.916
_cell_length_b 7.052
_cell_length_c 7.346
_cell_angle_alpha 118.69
_cell_angle_beta 105.46
_cell_angle_gamma 90.00
loop_
_atom_site_label
_atom_site_type_symbol
_atom_site_fract_x
_atom_site_fract_y
_atom_site_fract_z
Ba1 Ba 0.301 0.301 0.603
Ba2 Ba 0.699 0.699 0.397
Cl1 Cl 0.000 0.500 0.000
La1 La 0.500 0.000 0.000
```

Values from the calculation:
Energy above the most stable polymorph in this dataset, eV/atom: 0.152
Total magnetic moment, μB per atom: 0.530
Formation energy without anion corrections, eV/atom: -0.584

# 2
## BaLaSb2Cl (SCAN)

Data for a crystal of BaLaSb2Cl relaxed with PBEsol.

CIF file:
```
data_BaLaSb2Cl
_chemical_formula_sum 'Ba1 La1 Sb2 Cl1'
_symmetry_space_group_name_H-M 'P 1'
_symmetry_Int_Tables_number 1
_symmetry_space_group_name_Hall 'P 1'
_cell_length_a 5.336
_cell_length_b 5.644
_cell_length_c 5.644
_cell_angle_alpha 90.00
_cell_angle_beta 90.00
_cell_angle_gamma 90.00
loop_
_atom_site_label
_atom_site_type_symbol
_atom_site_fract_x
_atom_site_fract_y
_atom_site_fract_z
La1 La 0.500 0.500 0.500
Sb1 Sb 0.000 0.500 0.000
Sb2 Sb 0.000 0.000 0.500
Cl1 Cl 0.000 0.000 0.000
Ba1 Ba 0.500 0.000 0.000
```

Values from the calculation:
Total magnetic moment, μB per atom: 0.162
Formation energy without anion corrections, eV/atom: -0.407

# 3
## BaLi3Cl (SCAN)

Data for a crystal of BaLi3Cl relaxed with PBEsol.

CIF file:
```
data_BaLi3Cl
_chemical_formula_sum 'Ba1 Li3 Cl1'
_symmetry_space_group_name_H-M 'P 1'
_symmetry_Int_Tables_number 1
_symmetry_space_group_name_Hall 'P 1'
_cell_length_a 5.255
_cell_length_b 5.255
_cell_length_c 5.255
_cell_angle_alpha 90.00
_cell_angle_beta 90.00
_cell_angle_gamma 90.00
loop_
_atom_site_label
_atom_site_type_symbol
_atom_site_fract_x
_atom_site_fract_y
_atom_site_fract_z
Li1 Li 0.500 0.000 0.000
Li2 Li 0.000 0.000 0.500
Li3 Li 0.000 0.500 0.000
Ba1 Ba 0.500 0.500 0.500
Cl1 Cl 0.000 0.000 0.000
```

Values from the calculation:
Total magnetic moment, μB per atom: 0.419
Formation energy without anion corrections, eV/atom: -0.410

# 4
## BaLi2Cl (SCAN)

Data for a crystal of BaLi2Cl relaxed with PBEsol.

CIF file:
```
data_BaLi2Cl
_chemical_formula_sum 'Ba2 Li4 Cl2'
_symmetry_space_group_name_H-M 'P 1'
_symmetry_Int_Tables_number 1
_symmetry_space_group_name_Hall 'P 1'
_cell_length_a 7.460
_cell_length_b 7.460
_cell_length_c 7.460
_cell_angle_alpha 88.97
_cell_angle_beta 60.59
_cell_angle_gamma 119.41
loop_
_atom_site_label
_atom_site_type_symbol
_atom_site_fract_x
_atom_site_fract_y
_atom_site_fract_z
Li1 Li 0.285 0.625 0.590
Li2 Li 0.215 0.590 0.125
Li3 Li 0.715 0.125 0.660
Li4 Li 0.785 0.660 0.625
Ba1 Ba 0.000 0.000 0.000
Ba2 Ba 0.500 0.250 0.250
Cl1 Cl 0.000 0.500 0.500
Cl2 Cl 0.500 0.750 0.750
```

Values from the calculation:
Energy above the most stable polymorph in this dataset, eV/atom: 0.225
Total magnetic moment, μB per atom: 0.335
Formation energy without anion corrections, eV/atom: -0.650

# 5
## BaLi2Cl (SCAN)

Data for a crystal of BaLi2Cl relaxed with PBEsol.

CIF file:
```
data_BaLi2Cl
_chemical_formula_sum 'Ba1 Li2 Cl1'
_symmetry_space_group_name_H-M 'P 1'
_symmetry_Int_Tables_number 1
_symmetry_space_group_name_Hall 'P 1'
_cell_length_a 4.323
_cell_length_b 4.323
_cell_length_c 7.636
_cell_angle_alpha 106.44
_cell_angle_beta 106.44
_cell_angle_gamma 90.00
loop_
_atom_site_label
_atom_site_type_symbol
_atom_site_fract_x
_atom_site_fract_y
_atom_site_fract_z
Ba1 Ba 0.500 0.500 0.000
Li1 Li 0.750 0.250 0.500
Li2 Li 0.250 0.750 0.500
Cl1 Cl 0.000 0.000 0.000
```

Values from the calculation:
Energy above the most stable polymorph in this dataset, eV/atom: 0.060
Total magnetic moment, μB per atom: 0.006
Formation energy without anion corrections, eV/atom: -0.815

# 6
## BaLi2Cl (SCAN)

Data for a crystal of BaLi2Cl relaxed with PBEsol.

CIF file:
```
data_BaLi2Cl
_chemical_formula_sum 'Ba1 Li2 Cl1'
_symmetry_space_group_name_H-M 'P 1'
_symmetry_Int_Tables_number 1
_symmetry_space_group_name_Hall 'P 1'
_cell_length_a 3.931
_cell_length_b 4.739
_cell_length_c 6.762
_cell_angle_alpha 110.51
_cell_angle_beta 90.00
_cell_angle_gamma 90.00
loop_
_atom_site_label
_atom_site_type_symbol
_atom_site_fract_x
_atom_site_fract_y
_atom_site_fract_z
Li1 Li 0.500 0.202 0.403
Li2 Li 0.000 0.775 0.550
Cl1 Cl 0.500 0.003 0.006
Ba1 Ba 0.000 0.504 0.009
```

Values from the calculation:
Energy above the most stable polymorph in this dataset, eV/atom: 0.000
Total magnetic moment, μB per atom: 0.000
Formation energy without anion corrections, eV/atom: -0.875

# 7
## BaLiCl3 (SCAN)

Data for a crystal of BaLiCl3 relaxed with PBEsol.

CIF file:
```
data_BaLiCl3
_chemical_formula_sum 'Ba1 Li1 Cl3'
_symmetry_space_group_name_H-M 'P 1'
_symmetry_Int_Tables_number 1
_symmetry_space_group_name_Hall 'P 1'
_cell_length_a 4.806
_cell_length_b 4.806
_cell_length_c 4.806
_cell_angle_alpha 90.00
_cell_angle_beta 90.00
_cell_angle_gamma 90.00
loop_
_atom_site_label
_atom_site_type_symbol
_atom_site_fract_x
_atom_site_fract_y
_atom_site_fract_z
Li1 Li 0.000 0.000 0.000
Cl1 Cl 0.000 0.000 0.500
Cl2 Cl 0.000 0.500 0.000
Cl3 Cl 0.500 0.000 0.000
Ba1 Ba 0.500 0.500 0.500
```

Values from the calculation:
Total magnetic moment, μB per atom: 0.000
Formation energy without anion corrections, eV/atom: -2.471

# 8
## BaLi2SiCl (SCAN)

Data for a crystal of BaLi2SiCl relaxed with PBEsol.

CIF file:
```
data_BaLi2SiCl
_chemical_formula_sum 'Ba1 Li2 Si1 Cl1'
_symmetry_space_group_name_H-M 'P 1'
_symmetry_Int_Tables_number 1
_symmetry_space_group_name_Hall 'P 1'
_cell_length_a 4.843
_cell_length_b 4.843
_cell_length_c 6.067
_cell_angle_alpha 90.00
_cell_angle_beta 90.00
_cell_angle_gamma 90.00
loop_
_atom_site_label
_atom_site_type_symbol
_atom_site_fract_x
_atom_site_fract_y
_atom_site_fract_z
Li1 Li 0.500 0.000 0.000
Li2 Li 0.000 0.500 0.000
Cl1 Cl 0.500 0.500 0.500
Si1 Si 0.000 0.000 0.000
Ba1 Ba 0.000 0.000 0.500
```

Values from the calculation:
Total magnetic moment, μB per atom: 0.000
Formation energy without anion corrections, eV/atom: -0.708

# 9
## Ba10MgMn3V8Cl12O28 (SCAN)

Data for a crystal of Ba10MgMn3V8Cl12O28 relaxed with PBEsol.

CIF file:
```
data_Ba10MgMn3V8Cl12O28
_chemical_formula_sum 'Ba10 Mg1 Mn3 V8 Cl12 O28'
_symmetry_space_group_name_H-M 'P 1'
_symmetry_Int_Tables_number 1
_symmetry_space_group_name_Hall 'P 1'
_cell_length_a 5.679
_cell_length_b 13.235
_cell_length_c 15.723
_cell_angle_alpha 113.67
_cell_angle_beta 90.00
_cell_angle_gamma 90.00
loop_
_atom_site_label
_atom_site_type_symbol
_atom_site_fract_x
_atom_site_fract_y
_atom_site_fract_z
O1 O 0.986 0.209 0.071
O2 O 0.993 0.583 0.608
O3 O 0.484 0.207 0.571
O4 O 0.252 0.376 0.722
O5 O 0.250 0.414 0.133
O6 O 0.515 0.794 0.929
O7 O 0.491 0.583 0.108
O8 O 0.014 0.790 0.428
O9 O 0.748 0.375 0.222
O10 O 0.986 0.791 0.929
O11 O 0.250 0.586 0.867
O12 O 0.508 0.416 0.392
O13 O 0.484 0.793 0.429
O14 O 0.508 0.584 0.608
O15 O 0.253 0.632 0.468
O16 O 0.749 0.586 0.367
O17 O 0.008 0.583 0.108
O18 O 0.993 0.417 0.392
O19 O 0.747 0.367 0.033
O20 O 0.515 0.206 0.071
O21 O 0.749 0.414 0.633
O22 O 0.008 0.417 0.892
O23 O 0.253 0.368 0.532
O24 O 0.014 0.210 0.572
O25 O 0.747 0.633 0.967
O26 O 0.491 0.417 0.892
O27 O 0.748 0.625 0.778
O28 O 0.252 0.624 0.278
Cl1 Cl 0.232 0.002 0.115
Cl2 Cl 0.245 0.148 0.736
Cl3 Cl 0.754 0.856 0.138
Cl4 Cl 0.245 0.852 0.264
Cl5 Cl 0.768 0.002 0.614
Cl6 Cl 0.754 0.144 0.862
Cl7 Cl 0.232 0.998 0.885
Cl8 Cl 0.755 0.148 0.236
Cl9 Cl 0.246 0.144 0.362
Cl10 Cl 0.246 0.856 0.638
Cl11 Cl 0.768 0.998 0.386
Cl12 Cl 0.755 0.852 0.764
V1 V 0.750 0.707 0.902
V2 V 0.250 0.452 0.845
V3 V 0.250 0.707 0.401
V4 V 0.250 0.293 0.599
V5 V 0.750 0.548 0.655
V6 V 0.250 0.548 0.155
V7 V 0.750 0.293 0.098
V8 V 0.750 0.452 0.345
Ba1 Ba 0.748 0.263 0.455
Ba2 Ba 0.748 0.737 0.545
Ba3 Ba 0.251 0.730 0.772
Ba4 Ba 0.749 0.271 0.729
Ba5 Ba 0.252 0.264 0.955
Ba6 Ba 0.252 0.000 0.500
Ba7 Ba 0.749 0.729 0.271
Ba8 Ba 0.251 0.270 0.228
Ba9 Ba 0.252 0.736 0.045
Ba10 Ba 0.749 0.000 0.000
Mg1 Mg 0.750 0.500 0.000
Mn1 Mn 0.000 0.000 0.250
Mn2 Mn 0.000 0.000 0.750
Mn3 Mn 0.250 0.500 0.500
```

Values from the calculation:
Total magnetic moment, μB per atom: 0.242
Formation energy without anion corrections, eV/atom: -2.817

# 10
## BaMnCl2 (SCAN)

Data for a crystal of BaMnCl2 relaxed with PBEsol.

CIF file:
```
data_BaMnCl2
_chemical_formula_sum 'Ba1 Mn1 Cl2'
_symmetry_space_group_name_H-M 'P 1'
_symmetry_Int_Tables_number 1
_symmetry_space_group_name_Hall 'P 1'
_cell_length_a 4.616
_cell_length_b 4.616
_cell_length_c 9.020
_cell_angle_alpha 75.17
_cell_angle_beta 75.17
_cell_angle_gamma 60.00
loop_
_atom_site_label
_atom_site_type_symbol
_atom_site_fract_x
_atom_site_fract_y
_atom_site_fract_z
Mn1 Mn 0.500 0.500 0.500
Ba1 Ba 0.000 0.000 0.000
Cl1 Cl 0.722 0.722 0.833
Cl2 Cl 0.278 0.278 0.167
```

Values from the calculation:
Total magnetic moment, μB per atom: 1.249
Formation energy without anion corrections, eV/atom: -1.298